1.
DFT (PBE-GGA) results for an optimized crystal structure of LiGa2Ag.

## Properties
Energy relative to the lowest polymorph listed for this composition (kJ/mol of atoms): 1.1
Total DFT energy (no corrections) (Ha/atom): -0.106

Lattice parameters (Å, degrees): 4.425 5.610 11.055 90.00 90.00 90.00
Element x y z (fractional)
1 Ga 0.750 0.953 0.922
2 Ga 0.750 0.453 0.578
3 Ga 0.250 0.547 0.422
4 Ga 0.750 0.500 0.815
5 Ga 0.250 0.500 0.185
6 Ga 0.250 0.047 0.078
7 Ga 0.250 0.000 0.315
8 Ga 0.750 0.000 0.685
9 Li 0.250 0.686 0.679
10 Li 0.750 0.814 0.179
11 Li 0.250 0.186 0.821
12 Li 0.750 0.314 0.321
13 Ag 0.250 0.640 0.938
14 Ag 0.750 0.860 0.438
15 Ag 0.750 0.360 0.062
16 Ag 0.250 0.140 0.562

***

2.
DFT (PBE-GGA) results for an optimized crystal structure of Li6GaAg3.

## Properties
Energy relative to the lowest polymorph listed for this composition (kJ/mol of atoms): 5.3
Total DFT energy (no corrections) (Ha/atom): -0.091

Lattice parameters (Å, degrees): 5.045 8.903 8.903 121.69 90.00 90.00
Element x y z (fractional)
1 Li 0.037 0.698 0.622
2 Li 0.850 0.956 0.554
3 Li 0.350 0.044 0.446
4 Li 0.850 0.446 0.044
5 Li 0.176 0.706 0.294
6 Li 0.537 0.302 0.378
7 Li 0.037 0.378 0.302
8 Li 0.676 0.294 0.706
9 Li 0.350 0.554 0.956
10 Li 0.892 0.055 0.945
11 Li 0.537 0.622 0.698
12 Li 0.392 0.945 0.055
13 Ag 0.618 0.614 0.386
14 Ag 0.426 0.289 0.069
15 Ag 0.926 0.069 0.289
16 Ag 0.926 0.711 0.931
17 Ag 0.118 0.386 0.614
18 Ag 0.426 0.931 0.711
19 Ga 0.674 0.785 0.215
20 Ga 0.174 0.215 0.785

***

3.
DFT (PBE-GGA) results for an optimized crystal structure of Li7Ga4Ag.

## Properties
Total DFT energy (no corrections) (Ha/atom): -0.093

Lattice parameters (Å, degrees): 4.751 7.530 6.742 66.86 69.37 71.61
Element x y z (fractional)
1 Li 0.202 0.124 0.473
2 Li 0.920 0.426 0.734
3 Li 0.080 0.574 0.266
4 Li 0.764 0.264 0.207
5 Li 0.500 0.000 0.000
6 Li 0.236 0.736 0.793
7 Li 0.798 0.876 0.527
8 Ga 0.553 0.297 0.597
9 Ga 0.674 0.642 0.009
10 Ga 0.447 0.703 0.403
11 Ga 0.326 0.358 0.991
12 Ag 0.000 0.000 0.000

***

4.
DFT (PBE-GGA) results for an optimized crystal structure of LiGa2Ag.

## Properties
Energy relative to the lowest polymorph listed for this composition (kJ/mol of atoms): 13.1
Total DFT energy (no corrections) (Ha/atom): -0.101

Lattice parameters (Å, degrees): 3.935 3.935 9.840 78.47 78.47 90.00
Element x y z (fractional)
1 Li 0.250 0.750 0.500
2 Li 0.500 0.500 0.000
3 Ga 0.620 0.125 0.250
4 Ga 0.875 0.870 0.750
5 Ga 0.375 0.380 0.750
6 Ga 0.130 0.625 0.250
7 Ag 0.000 0.000 0.000
8 Ag 0.750 0.250 0.500

***

5.
DFT (PBE-GGA) results for an optimized crystal structure of Li3Ga2Ag4.

## Properties
Energy relative to the lowest polymorph listed for this composition (kJ/mol of atoms): 1.5
Total DFT energy (no corrections) (Ha/atom): -0.103

Lattice parameters (Å, degrees): 4.419 5.430 8.337 123.32 90.00 114.01
Element x y z (fractional)
1 Ag 0.006 0.012 0.331
2 Ag 0.344 0.688 0.001
3 Ag 0.994 0.988 0.669
4 Ag 0.656 0.312 0.999
5 Ga 0.327 0.653 0.662
6 Ga 0.673 0.347 0.338
7 Li 0.335 0.670 0.326
8 Li 0.000 0.000 0.000
9 Li 0.665 0.330 0.674

***

6.
DFT (PBE-GGA) results for an optimized crystal structure of LiGa2Ag4.

## Properties
Energy relative to the lowest polymorph listed for this composition (kJ/mol of atoms): 33.1
Total DFT energy (no corrections) (Ha/atom): -0.092

Lattice parameters (Å, degrees): 4.625 4.625 7.317 71.58 71.58 90.00
Element x y z (fractional)
1 Ag 0.810 0.810 0.380
2 Ag 0.000 0.500 0.000
3 Ag 0.190 0.190 0.620
4 Ag 0.500 0.000 0.000
5 Ga 0.615 0.615 0.769
6 Ga 0.385 0.385 0.231
7 Li 0.000 0.000 0.000

***

7.
DFT (PBE-GGA) results for an optimized crystal structure of Li5GaAg8.

## Properties
Total DFT energy (no corrections) (Ha/atom): -0.096

Lattice parameters (Å, degrees): 6.781 6.781 6.781 109.53 109.35 109.53
Element x y z (fractional)
1 Ag 0.337 0.266 0.426
2 Ag 0.666 0.400 0.928
3 Ag 0.734 0.261 0.334
4 Ag 0.574 0.911 0.839
5 Ag 0.161 0.734 0.071
6 Ag 0.072 0.739 0.472
7 Ag 0.929 0.089 0.663
8 Ag 0.528 0.600 0.266
9 Ga 0.250 0.500 0.750
10 Li 0.500 0.000 0.500
11 Li 0.036 0.339 0.132
12 Li 0.868 0.904 0.207
13 Li 0.793 0.661 0.697
14 Li 0.303 0.096 0.964

***

8.
DFT (PBE-GGA) results for an optimized crystal structure of LiGa6Ag12.

## Properties
Total DFT energy (no corrections) (Ha/atom): -0.106

Lattice parameters (Å, degrees): 7.617 7.617 7.617 110.12 110.12 110.12
Element x y z (fractional)
1 Ag 0.678 0.528 0.794
2 Ag 0.528 0.794 0.678
3 Ag 0.794 0.678 0.528
4 Ag 0.838 0.264 0.901
5 Ag 0.264 0.901 0.838
6 Ag 0.322 0.472 0.206
7 Ag 0.736 0.099 0.162
8 Ag 0.472 0.206 0.322
9 Ag 0.099 0.162 0.736
10 Ag 0.206 0.322 0.472
11 Ag 0.162 0.736 0.099
12 Ag 0.901 0.838 0.264
13 Ga 0.641 0.947 0.427
14 Ga 0.573 0.359 0.053
15 Ga 0.947 0.427 0.641
16 Ga 0.427 0.641 0.947
17 Ga 0.359 0.053 0.573
18 Ga 0.053 0.573 0.359
19 Li 0.000 0.000 0.000

***

9.
DFT (PBE-GGA) results for an optimized crystal structure of LiGa3Ag7.

## Properties
Total DFT energy (no corrections) (Ha/atom): -0.103

Lattice parameters (Å, degrees): 5.155 7.821 7.821 66.47 126.52 126.52
Element x y z (fractional)
1 Ag 0.774 0.771 0.771
2 Ag 0.000 0.500 0.500
3 Ag 0.245 0.585 0.920
4 Ag 0.755 0.080 0.415
5 Ag 0.755 0.415 0.080
6 Ag 0.226 0.229 0.229
7 Ag 0.245 0.920 0.585
8 Ga 0.500 0.000 0.000
9 Ga 0.000 0.191 0.809
10 Ga 0.000 0.809 0.191
11 Li 0.500 0.500 0.500

***

10.
DFT (PBE-GGA) results for an optimized crystal structure of Li2Ga5Ag5.

## Properties
Energy relative to the lowest polymorph listed for this composition (kJ/mol of atoms): 0.0
Total DFT energy (no corrections) (Ha/atom): -0.106

Lattice parameters (Å, degrees): 4.688 5.112 10.060 77.83 76.53 62.70
Element x y z (fractional)
1 Ag 0.000 0.000 0.000
2 Ag 0.246 0.780 0.728
3 Ag 0.167 0.192 0.474
4 Ag 0.833 0.808 0.526
5 Ag 0.754 0.220 0.272
6 Ga 0.674 0.624 0.029
7 Ga 0.326 0.376 0.971
8 Ga 0.412 0.943 0.233
9 Ga 0.500 0.500 0.500
10 Ga 0.588 0.057 0.767
11 Li 0.919 0.405 0.756
12 Li 0.081 0.595 0.244

***

11.
DFT (PBE-GGA) results for an optimized crystal structure of Li5Ga8Ag.

## Properties
Total DFT energy (no corrections) (Ha/atom): -0.102

Lattice parameters (Å, degrees): 6.748 6.748 6.748 111.54 105.41 111.54
Element x y z (fractional)
1 Ga 0.654 0.402 0.923
2 Ga 0.521 0.598 0.252
3 Ga 0.910 0.046 0.642
4 Ga 0.358 0.268 0.404
5 Ga 0.748 0.269 0.346
6 Ga 0.077 0.731 0.479
7 Ga 0.136 0.732 0.090
8 Ga 0.596 0.954 0.864
9 Li 0.500 0.000 0.500
10 Li 0.796 0.668 0.717
11 Li 0.283 0.079 0.952
12 Li 0.048 0.332 0.128
13 Li 0.872 0.921 0.204
14 Ag 0.250 0.500 0.750

***

12.
DFT (PBE-GGA) results for an optimized crystal structure of Li2Ga8Ag.

## Properties
Energy relative to the lowest polymorph listed for this composition (kJ/mol of atoms): 0.0
Total DFT energy (no corrections) (Ha/atom): -0.107

Lattice parameters (Å, degrees): 4.092 4.092 11.641 90.00 90.00 90.00
Element x y z (fractional)
1 Ga 0.500 0.000 0.846
2 Ga 0.500 0.500 0.681
3 Ga 0.500 0.000 0.500
4 Ga 0.000 0.500 0.846
5 Ga 0.000 0.500 0.154
6 Ga 0.000 0.500 0.500
7 Ga 0.500 0.000 0.154
8 Ga 0.500 0.500 0.319
9 Li 0.000 0.000 0.668
10 Li 0.000 0.000 0.332
11 Ag 0.000 0.000 0.000

***

13.
DFT (PBE-GGA) results for an optimized crystal structure of Li4GaAg4.

## Properties
Total DFT energy (no corrections) (Ha/atom): -0.098

Lattice parameters (Å, degrees): 4.284 6.222 6.222 83.19 69.86 69.86
Element x y z (fractional)
1 Ag 0.674 0.326 0.326
2 Ag 0.000 0.326 0.674
3 Ag 0.326 0.674 0.674
4 Ag 0.000 0.674 0.326
5 Li 0.336 0.328 0.000
6 Li 0.336 0.000 0.328
7 Li 0.664 0.672 0.000
8 Li 0.664 0.000 0.672
9 Ga 0.000 0.000 0.000

***

14.
DFT (PBE-GGA) results for an optimized crystal structure of Li6Ga12Ag.

## Properties
Total DFT energy (no corrections) (Ha/atom): -0.104

Lattice parameters (Å, degrees): 6.875 6.875 6.875 92.14 92.14 92.14
Element x y z (fractional)
1 Ga 0.853 0.625 0.966
2 Ga 0.553 0.211 0.460
3 Ga 0.211 0.460 0.553
4 Ga 0.789 0.540 0.447
5 Ga 0.375 0.034 0.147
6 Ga 0.966 0.853 0.625
7 Ga 0.447 0.789 0.540
8 Ga 0.147 0.375 0.034
9 Ga 0.540 0.447 0.789
10 Ga 0.034 0.147 0.375
11 Ga 0.460 0.553 0.211
12 Ga 0.625 0.966 0.853
13 Li 0.269 0.723 0.884
14 Li 0.731 0.277 0.116
15 Li 0.723 0.884 0.269
16 Li 0.884 0.269 0.723
17 Li 0.116 0.731 0.277
18 Li 0.277 0.116 0.731
19 Ag 0.000 0.000 0.000

***

15.
DFT (PBE-GGA) results for an optimized crystal structure of Li8Ga2Ag.

## Properties
Energy relative to the lowest polymorph listed for this composition (kJ/mol of atoms): 0.0
Total DFT energy (no corrections) (Ha/atom): -0.087

Lattice parameters (Å, degrees): 4.388 6.629 7.596 115.87 106.79 90.00
Element x y z (fractional)
1 Li 0.347 0.128 0.695
2 Li 0.000 0.299 0.000
3 Li 0.653 0.872 0.305
4 Li 0.653 0.433 0.305
5 Li 0.159 0.159 0.317
6 Li 0.841 0.841 0.683
7 Li 0.347 0.567 0.695
8 Li 0.000 0.701 0.000
9 Ga 0.803 0.303 0.607
10 Ga 0.197 0.697 0.393
11 Ag 0.500 0.000 0.000

***

16.
DFT (PBE-GGA) results for an optimized crystal structure of Li3GaAg.

## Properties
Energy relative to the lowest polymorph listed for this composition (kJ/mol of atoms): 0.0
Total DFT energy (no corrections) (Ha/atom): -0.095

Lattice parameters (Å, degrees): 4.405 5.294 6.974 79.15 90.00 90.00
Element x y z (fractional)
1 Ga 0.625 0.411 0.370
2 Ga 0.125 0.687 0.277
3 Ag 0.124 0.886 0.889
4 Ag 0.624 0.213 0.759
5 Li 0.624 0.802 0.576
6 Li 0.124 0.503 0.666
7 Li 0.124 0.113 0.476
8 Li 0.624 0.985 0.172
9 Li 0.124 0.296 0.072
10 Li 0.624 0.595 0.981

***

17.
DFT (PBE-GGA) results for an optimized crystal structure of Li15Ga2Ag2.

## Properties
Total DFT energy (no corrections) (Ha/atom): -0.079

Lattice parameters (Å, degrees): 7.347 7.347 7.347 66.90 66.90 66.90
Element x y z (fractional)
1 Ga 0.089 0.089 0.089
2 Ga 0.911 0.911 0.911
3 Li 0.500 0.000 0.000
4 Li 0.560 0.560 0.194
5 Li 0.000 0.704 0.296
6 Li 0.440 0.440 0.806
7 Li 0.560 0.194 0.560
8 Li 0.000 0.296 0.704
9 Li 0.000 0.000 0.500
10 Li 0.296 0.000 0.704
11 Li 0.296 0.704 0.000
12 Li 0.000 0.500 0.000
13 Li 0.194 0.560 0.560
14 Li 0.806 0.440 0.440
15 Li 0.704 0.296 0.000
16 Li 0.440 0.806 0.440
17 Li 0.704 0.000 0.296
18 Ag 0.713 0.713 0.713
19 Ag 0.287 0.287 0.287

***

18.
DFT (PBE-GGA) results for an optimized crystal structure of Li2Ga2Ag.

## Properties
Energy relative to the lowest polymorph listed for this composition (kJ/mol of atoms): 0.0
Total DFT energy (no corrections) (Ha/atom): -0.103

Lattice parameters (Å, degrees): 4.448 5.275 8.184 65.64 74.23 65.06
Element x y z (fractional)
1 Li 0.055 0.743 0.649
2 Li 0.945 0.257 0.351
3 Li 0.553 0.243 0.149
4 Li 0.447 0.757 0.851
5 Ga 0.856 0.742 0.048
6 Ga 0.144 0.258 0.952
7 Ga 0.646 0.758 0.452
8 Ga 0.354 0.242 0.548
9 Ag 0.251 0.750 0.250
10 Ag 0.749 0.250 0.750

***

19.
DFT (PBE-GGA) results for an optimized crystal structure of Li2Ga9Ag.

## Properties
Total DFT energy (no corrections) (Ha/atom): -0.108

Lattice parameters (Å, degrees): 4.127 4.127 12.452 90.00 90.00 90.00
Element x y z (fractional)
1 Ga 0.500 0.000 0.170
2 Ga 0.500 0.500 0.000
3 Ga 0.000 0.500 0.830
4 Ga 0.000 0.500 0.500
5 Ga 0.500 0.000 0.830
6 Ga 0.500 0.500 0.663
7 Ga 0.500 0.000 0.500
8 Ga 0.000 0.500 0.170
9 Ga 0.500 0.500 0.337
10 Ag 0.000 0.000 0.000
11 Li 0.000 0.000 0.661
12 Li 0.000 0.000 0.339

***

20.
DFT (PBE-GGA) results for an optimized crystal structure of LiGa6Ag.

## Properties
Total DFT energy (no corrections) (Ha/atom): -0.105

Lattice parameters (Å, degrees): 5.172 5.172 6.856 77.17 77.17 63.60
Element x y z (fractional)
1 Ga 0.633 0.633 0.067
2 Ga 0.549 0.049 0.300
3 Ga 0.951 0.451 0.700
4 Ga 0.367 0.367 0.933
5 Ga 0.049 0.549 0.300
6 Ga 0.451 0.951 0.700
7 Ag 0.500 0.500 0.500
8 Li 0.000 0.000 0.000

***

Going through the records in order, we get E_form values of -0.173 -0.158 -0.156 -0.049 -0.215 0.270 -0.084 -0.035 0.005 -0.124 -0.162 -0.116 -0.208 -0.176 -0.160 -0.253 -0.031 -0.265 -0.099 0.020 eV/atom.